[1]
# PBE-GGA ZrTlAs2Se, relaxed
# electronic total energy: -4.93 eV per atom
# ΔE to the lowest computed polymorph: 0.00 eV per formula unit
# uncorrected formation energy: -190.7 meV/atom
data_ZrTlAs2Se
_chemical_formula_sum 'Zr1 Tl1 As2 Se1'
_space_group_name_H-M_alt 'P 4/m m m'
_space_group_IT_number 123
_space_group_name_Hall '-P 4 2'
_cell_length_a 5.267
_cell_length_b 5.267
_cell_length_c 5.274
_cell_angle_alpha 90.00
_cell_angle_beta 90.00
_cell_angle_gamma 90.00
loop_
_atom_site_label
_atom_site_type_symbol
_atom_site_fract_x
_atom_site_fract_y
_atom_site_fract_z
_atom_site_occupancy
Zr1 Zr 0.000 0.000 0.000 1
Tl1 Tl 0.500 0.500 0.500 1
As1 As 0.000 0.500 0.000 1
Se1 Se 0.000 0.000 0.500 1

***

[2]
# PBE-GGA PmTePd, relaxed
# electronic total energy: -5.43 eV per atom
# ΔE to the lowest computed polymorph: 0.00 eV per formula unit
# uncorrected formation energy: -1069.7 meV/atom
data_PmTePd
_chemical_formula_sum 'Pm4 Te4 Pd4'
_space_group_name_H-M_alt 'P 1 21/c 1'
_space_group_IT_number 14
_cell_length_a 6.073
_cell_length_b 7.268
_cell_length_c 7.642
_cell_angle_alpha 90.00
_cell_angle_beta 114.49
_cell_angle_gamma 90.00
loop_
_space_group_symop_operation_xyz
'x,y,z'
'-x,-y,-z'
'-x,y+1/2,-z+1/2'
'x,-y+1/2,z+1/2'
loop_
_atom_site_label
_atom_site_type_symbol
_atom_site_fract_x
_atom_site_fract_y
_atom_site_fract_z
_atom_site_occupancy
Pm1 Pm 0.180 0.206 0.352 1
Te1 Te 0.349 0.571 0.208 1
Pd1 Pd 0.201 0.599 0.522 1

***

[3]
# PBE-GGA PmMgCu, relaxed
# energy relative to the elements: 0.0 eV/f.u.
# electronic total energy: -3.49 eV per atom
# ΔE to the lowest computed polymorph: 0.52 eV per formula unit
data_PmMgCu
_chemical_formula_sum 'Pm6 Mg6 Cu6'
_space_group_name_H-M_alt 'R -3 m'
_space_group_IT_number 166
_space_group_name_Hall '-R 3 2"'
_cell_length_a 4.9185
_cell_length_b 4.9185
_cell_length_c 21.3135
_cell_angle_alpha 90.00
_cell_angle_beta 90.00
_cell_angle_gamma 120.00
loop_
_atom_site_label
_atom_site_type_symbol
_atom_site_fract_x
_atom_site_fract_y
_atom_site_fract_z
_atom_site_occupancy
Pm1 Pm 0.0000 0.0000 0.1133 1
Mg1 Mg 0.0000 0.0000 0.3711 1
Cu1 Cu 0.0000 0.0000 0.2499 1

***

[4]
# PBE-GGA Tb3Ce2ScTe6, relaxed
# electronic total energy: -5.54 eV per atom
# uncorrected formation energy: -1290.7 meV/atom
data_Tb3Ce2ScTe6
_chemical_formula_sum 'Tb6 Ce4 Sc2 Te12'
_space_group_name_H-M_alt 'C 1 2/m 1'
_space_group_IT_number 12
_cell_length_a 19.124
_cell_length_b 4.351
_cell_length_c 8.829
_cell_angle_alpha 90.00
_cell_angle_beta 103.84
_cell_angle_gamma 90.00
loop_
_space_group_symop_operation_xyz
'x,y,z'
'-x,-y,-z'
'-x,y,-z'
'x,-y,z'
'x+1/2,y+1/2,z'
'-x+1/2,-y+1/2,-z'
'-x+1/2,y+1/2,-z'
'x+1/2,-y+1/2,z'
loop_
_atom_site_label
_atom_site_type_symbol
_atom_site_fract_x
_atom_site_fract_y
_atom_site_fract_z
_atom_site_occupancy
Tb1 Tb 0.000 0.000 0.000 1
Tb2 Tb 0.172 0.500 0.336 1
Ce1 Ce 0.167 0.500 0.835 1
Sc1 Sc 0.000 0.000 0.500 1
Te1 Te 0.004 0.500 0.262 1
Te2 Te 0.160 0.000 0.575 1
Te3 Te 0.164 0.000 0.090 1

***

[5]
# PBE-GGA P2F13, relaxed
# electronic total energy: -4.32 eV per atom
# uncorrected formation energy: -1971.9 meV/atom
data_P2F13
_chemical_formula_sum 'P2 F13'
_space_group_name_H-M_alt 'P -1'
_space_group_IT_number 2
_cell_length_a 5.059
_cell_length_b 6.157
_cell_length_c 7.267
_cell_angle_alpha 65.86
_cell_angle_beta 79.55
_cell_angle_gamma 82.00
loop_
_space_group_symop_operation_xyz
'x,y,z'
'-x,-y,-z'
loop_
_atom_site_label
_atom_site_type_symbol
_atom_site_fract_x
_atom_site_fract_y
_atom_site_fract_z
_atom_site_occupancy
P1 P 0.173 0.129 0.224 1
F1 F 0.000 0.000 0.500 1
F2 F 0.091 0.889 0.217 1
F3 F 0.120 0.747 0.828 1
F4 F 0.224 0.347 0.276 1
F5 F 0.317 0.232 0.997 1
F6 F 0.385 0.488 0.573 1
F7 F 0.438 0.985 0.320 1

***

[6]
# PBE-GGA K2MgCo, relaxed
# energy relative to the elements: 3.4 eV/f.u.
# electronic total energy: -1.89 eV per atom
data_K2MgCo
_chemical_formula_sum 'K2 Mg1 Co1'
_space_group_name_H-M_alt 'P 4/m m m'
_space_group_IT_number 123
_space_group_name_Hall '-P 4 2'
_cell_length_a 5.021
_cell_length_b 5.021
_cell_length_c 5.313
_cell_angle_alpha 90.00
_cell_angle_beta 90.00
_cell_angle_gamma 90.00
loop_
_atom_site_label
_atom_site_type_symbol
_atom_site_fract_x
_atom_site_fract_y
_atom_site_fract_z
_atom_site_occupancy
K1 K 0.000 0.500 0.000 1
Mg1 Mg 0.000 0.000 0.500 1
Co1 Co 0.500 0.500 0.500 1

***

[7]
# PBE-GGA Zr2ZnReH, relaxed
# electronic total energy: -7.04 eV per atom
data_Zr2ZnReH
_chemical_formula_sum 'Zr2 Zn1 Re1 H1'
_space_group_name_H-M_alt 'P 4/m m m'
_space_group_IT_number 123
_space_group_name_Hall '-P 4 2'
_cell_length_a 4.550
_cell_length_b 4.550
_cell_length_c 3.692
_cell_angle_alpha 90.00
_cell_angle_beta 90.00
_cell_angle_gamma 90.00
loop_
_atom_site_label
_atom_site_type_symbol
_atom_site_fract_x
_atom_site_fract_y
_atom_site_fract_z
_atom_site_occupancy
Zr1 Zr 0.000 0.500 0.000 1
Zn1 Zn 0.000 0.000 0.500 1
Re1 Re 0.500 0.500 0.500 1
H1 H 0.500 0.500 0.000 1

***

[8]
# PBE-GGA Tl2CoTe2, relaxed
# electronic total energy: -3.57 eV per atom
# uncorrected formation energy: 55.7 meV/atom
data_Tl2CoTe2
_chemical_formula_sum 'Tl4 Co2 Te4'
_space_group_name_H-M_alt 'P 4/m b m'
_space_group_IT_number 127
_space_group_name_Hall '-P 4 2ab'
_cell_length_a 6.727
_cell_length_b 6.727
_cell_length_c 6.210
_cell_angle_alpha 90.00
_cell_angle_beta 90.00
_cell_angle_gamma 90.00
loop_
_atom_site_label
_atom_site_type_symbol
_atom_site_fract_x
_atom_site_fract_y
_atom_site_fract_z
_atom_site_occupancy
Tl1 Tl 0.183 0.317 0.000 1
Co1 Co 0.000 0.000 0.500 1
Te1 Te 0.158 0.658 0.500 1

***

- Number 2 is which compound?
  PmTePd